Record 1
Material: NaV2CdHg
Method: DFT, PBE
State: relaxed

a b c (Å): 5.270 5.317 5.270
angles (deg): 90.00 90.00 90.00
Fractional positions:
1 Na 0.500 0.500 0.500
2 V 0.000 0.000 0.500
3 V 0.500 0.000 0.000
4 Hg 0.000 0.000 0.000
5 Cd 0.000 0.500 0.000

Values from the calculation:
The space group is P4/mmm (123). The calculation puts the formation energy at 1123 meV/atom. The value obtained for the total magnetization is 7.51 μB/cell. The value obtained for the total energy is -3.0318 eV per atom.

---

Record 2
Material: K2Pr4Cl9O2
Method: DFT, PBE
State: relaxed

a b c (Å): 11.491 8.732 9.561
angles (deg): 75.23 90.00 90.00
Fractional positions:
1 K 0.481 0.773 0.433
2 K 0.981 0.227 0.567
3 K 0.519 0.227 0.567
4 K 0.019 0.773 0.433
5 Pr 0.750 0.616 0.161
6 Pr 0.250 0.384 0.839
7 Pr 0.454 0.707 0.958
8 Pr 0.954 0.293 0.042
9 Pr 0.546 0.293 0.042
10 Pr 0.250 0.381 0.216
11 Pr 0.750 0.619 0.784
12 Pr 0.046 0.707 0.958
13 Cl 0.417 0.122 0.292
14 Cl 0.092 0.118 0.884
15 Cl 0.250 0.734 0.140
16 Cl 0.750 0.266 0.860
17 Cl 0.502 0.502 0.284
18 Cl 0.583 0.878 0.708
19 Cl 0.250 0.344 0.535
20 Cl 0.750 0.656 0.465
21 Cl 0.083 0.122 0.292
22 Cl 0.908 0.882 0.116
23 Cl 0.002 0.498 0.716
24 Cl 0.408 0.118 0.884
25 Cl 0.498 0.498 0.716
26 Cl 0.592 0.882 0.116
27 Cl 0.917 0.878 0.708
28 Cl 0.998 0.502 0.284
29 Cl 0.250 0.742 0.760
30 Cl 0.750 0.258 0.240
31 O 0.121 0.450 0.013
32 O 0.879 0.550 0.987
33 O 0.379 0.450 0.013
34 O 0.621 0.550 0.987

Values from the calculation:
The space group is P2_1/m (11). The value obtained for the total magnetization is 2.00 μB/cell. The value obtained for the total energy is -5.2293 eV per atom.

---

Record 3
Material: BeTl2Re
Method: DFT, PBE
State: relaxed

a b c (Å): 4.759 4.759 4.759
angles (deg): 60.00 60.00 60.00
Fractional positions:
1 Re 0.750 0.750 0.750
2 Tl 0.000 0.000 0.000
3 Tl 0.250 0.250 0.250
4 Be 0.500 0.500 0.500

Values from the calculation:
The space group is F-43m (216). The calculation puts the formation energy at 1370 meV/atom. The value obtained for the total magnetization is 0.60 μB/cell. The value obtained for the total energy is -3.8572 eV per atom.